# 1
DFT (GGA-PBE) results for a relaxed structure of SrCuSb2O.

```
SrCuSb2O
1.0
4.791 0.000 0.000
0.000 4.881 0.000
0.000 0.000 4.791
Cu O Sb Sr
1 1 2 1
direct
0.500 0.500 0.500
0.000 0.000 0.000
0.000 0.000 0.500
0.500 0.000 0.000
0.000 0.500 0.000
```

# 2
DFT (GGA-PBE) results for a relaxed structure of SrCu4Sb3O12.

```
SrCu4Sb3O12
1.0
-1.266 0.074 6.727
-1.965 -6.152 -2.269
6.807 0.231 -0.688
O Cu Sr Sb
12 4 1 3
direct
0.500 0.094 0.906
0.673 0.500 0.327
0.500 0.327 0.673
0.005 0.647 0.734
0.906 0.500 0.094
0.734 0.005 0.647
0.266 0.353 0.995
0.995 0.266 0.353
0.647 0.734 0.005
0.327 0.673 0.500
0.094 0.906 0.500
0.353 0.995 0.266
0.090 0.500 0.910
0.910 0.090 0.500
0.500 0.910 0.090
0.500 0.500 0.500
0.000 0.000 0.000
0.000 0.569 0.431
0.431 0.000 0.569
0.569 0.431 0.000
```

# 3
DFT (GGA-PBE) results for a relaxed structure of SrCuSbO2.

```
SrCuSbO2
1.0
-0.156 -4.195 -1.448
5.044 0.632 -2.375
1.939 -1.368 3.753
O Sr Cu Sb
2 1 1 1
direct
0.500 0.000 0.000
0.000 0.000 0.500
0.000 0.000 0.000
0.000 0.500 0.000
0.500 0.500 0.500
```

# 4
DFT (GGA-PBE) results for a relaxed structure of TaCuSbO6.

```
TaCuSbO6
1.0
-1.971 -2.047 -4.428
2.461 -3.102 3.465
-7.840 -1.531 4.197
O Ta Cu Sb
12 2 2 2
direct
0.649 0.648 0.132
0.351 0.999 0.632
0.001 0.649 0.868
0.352 0.001 0.132
0.649 0.001 0.368
0.999 0.351 0.132
0.351 0.352 0.868
0.648 0.999 0.868
0.001 0.352 0.632
0.648 0.649 0.632
0.352 0.351 0.368
0.999 0.648 0.368
0.667 0.333 0.250
0.333 0.667 0.750
0.000 0.000 0.500
0.000 0.000 0.000
0.333 0.667 0.250
0.667 0.333 0.750
```

# 5
DFT (GGA-PBE) results for a relaxed structure of CuTcSb2O.

```
CuTcSb2O
1.0
4.858 0.000 0.000
0.000 4.867 0.000
0.000 0.000 4.858
Tc Sb Cu O
1 2 1 1
direct
0.000 0.500 0.000
0.000 0.000 0.500
0.500 0.000 0.000
0.000 0.000 0.000
0.500 0.500 0.500
```

# 6
DFT (GGA-PBE) results for a relaxed structure of ThCuSbO6.

```
ThCuSbO6
1.0
-0.506 -2.398 4.312
3.337 -3.359 -1.476
7.190 5.442 3.869
Sb O Th Cu
2 12 2 2
direct
0.000 0.000 0.335
0.500 0.500 0.835
0.798 0.202 0.482
0.674 0.674 0.670
0.298 0.298 0.982
0.202 0.798 0.482
0.211 0.789 0.845
0.789 0.211 0.845
0.702 0.702 0.982
0.289 0.289 0.345
0.174 0.826 0.170
0.711 0.711 0.345
0.326 0.326 0.670
0.826 0.174 0.170
0.000 0.000 0.670
0.500 0.500 0.170
0.000 0.000 0.001
0.500 0.500 0.501
```

# 7
DFT (GGA-PBE) results for a relaxed structure of TlCu2Sb2O6.

```
TlCu2Sb2O6
1.0
5.856 -0.582 0.396
2.281 6.309 -0.318
0.754 -4.355 5.230
Tl Cu O Sb
1 2 6 2
direct
0.500 0.000 0.500
0.941 0.281 0.281
0.059 0.719 0.719
0.930 0.116 0.418
0.494 0.689 0.996
0.070 0.884 0.582
0.061 0.550 0.853
0.939 0.450 0.147
0.506 0.311 0.004
0.819 0.341 0.840
0.181 0.659 0.160
```

# 8
DFT (GGA-PBE) results for a relaxed structure of TlCuSbO5.

```
TlCuSbO5
1.0
5.687 -0.046 -0.142
-1.704 5.426 -0.142
-1.787 -2.414 7.501
Tl O Sb Cu
2 10 2 2
direct
0.000 0.000 0.000
0.000 0.000 0.500
0.336 0.390 0.580
0.664 0.610 0.420
0.349 0.027 0.728
0.027 0.349 0.228
0.651 0.973 0.272
0.610 0.664 0.920
0.855 0.145 0.750
0.145 0.855 0.250
0.390 0.336 0.080
0.973 0.651 0.772
0.641 0.359 0.750
0.359 0.641 0.250
0.687 0.313 0.250
0.313 0.687 0.750
```

Computed values of energy relative to the elements, uncorrected (unit: eV per atom) for the preceding records, in sequence: -0.45, -1.19, 0.05, -1.60, 1.27, -1.75, -0.86, -0.68.